Computed, not measured: a relaxed Ce3GeIr3 crystal at the PBE level of DFT.

Properties
E_form, eV per atom: -0.765
Mass density, g cm⁻³: 11.91
Space group: No. 12
Distance to the lowest polymorph of the same formula, meV/atom: 0
N(E_F), states/eV per cell: 20.971
Crystal system: monoclinic

Cell: 5.9082 5.9082 14.0935 Å, 109.79 109.79 40.55°
Fractional coordinates of all 14 atoms:
Ce: 0.0166 0.0166 0.3779
Ce: 0.1060 0.1060 0.9250
Ce: 0.2348 0.2348 0.2227
Ce: 0.7652 0.7652 0.7773
Ce: 0.8940 0.8940 0.0750
Ce: 0.9834 0.9834 0.6221
Ge: 0.2710 0.2710 0.6014
Ge: 0.7290 0.7290 0.3986
Ir: 0.3651 0.3651 0.4498
Ir: 0.3694 0.3694 0.9262
Ir: 0.4888 0.4888 0.7727
Ir: 0.5112 0.5112 0.2273
Ir: 0.6306 0.6306 0.0738
Ir: 0.6349 0.6349 0.5502

Computed, not measured: a relaxed KHoPN3 crystal at the PBE level of DFT.

Properties
Electronic total energy, eV/atom: -6.4383
Mass density, g cm⁻³: 5.33
Space group: No. 12
N(E_F), states/eV per cell: 4.882
Crystal system: monoclinic

Cell: 6.4099 6.4099 7.7950 Å, 105.62 105.62 34.15°
Fractional coordinates of all 12 atoms:
K: 0.1462 0.1462 0.0598
K: 0.8538 0.8538 0.9402
Ho: 0.1487 0.1487 0.5716
Ho: 0.8513 0.8513 0.4284
P: 0.4899 0.4899 0.7345
P: 0.5101 0.5101 0.2655
N: 0.0086 0.0086 0.2951
N: 0.3485 0.3485 0.6355
N: 0.3711 0.3711 0.2476
N: 0.6289 0.6289 0.7524
N: 0.6515 0.6515 0.3645
N: 0.9914 0.9914 0.7049

Computed, not measured: a relaxed La6Pm2Dy3 crystal at the PBE level of DFT.

Properties
E_form, eV per atom: 0.023
Mass density, g cm⁻³: 6.94
Space group: No. 2
N(E_F), states/eV per cell: 19.007
Crystal system: triclinic

Cell: 6.3602 8.1863 8.2144 Å, 107.21 97.11 105.00°
Fractional coordinates of all 11 atoms:
La: 0.0475 0.1816 0.4102
La: 0.1373 0.5459 0.2314
La: 0.3197 0.2723 0.8644
La: 0.6803 0.7277 0.1356
La: 0.8627 0.4541 0.7686
La: 0.9525 0.8184 0.5898
Pm: 0.2297 0.9104 0.0481
Pm: 0.7703 0.0896 0.9519
Dy: 0.4096 0.6388 0.6818
Dy: 0.5000 0.0000 0.5000
Dy: 0.5904 0.3612 0.3182

Computed, not measured: a relaxed CsK3Cd8 crystal at the PBE level of DFT.

Properties
E_form, eV per atom: -0.076
Mass density, g cm⁻³: 4.93
Space group: No. 160
N(E_F), states/eV per cell: 5.474
Crystal system: trigonal

Cell: 11.4778 11.4778 11.4778 Å, 32.47 32.47 32.47°
Fractional coordinates of all 12 atoms:
Cs: 0.0000 0.0000 0.0000
K: 0.3757 0.3757 0.3757
K: 0.4992 0.4992 0.4992
K: 0.8740 0.8740 0.8740
Cd: 0.1872 0.1872 0.1872
Cd: 0.4346 0.4346 0.9330
Cd: 0.4346 0.9330 0.4346
Cd: 0.4436 0.9372 0.9372
Cd: 0.6889 0.6889 0.6889
Cd: 0.9330 0.4346 0.4346
Cd: 0.9372 0.4436 0.9372
Cd: 0.9372 0.9372 0.4436